The following is a PBE-GGA calculation of ZrAl2W after structural relaxation, from Alexandria via LeMat-Bulk.

Cell and atoms, written as POSCAR:
```
ZrAl2W
1.0
-1.375 2.265 -0.999
0.810 -1.143 -2.460
-7.362 -4.596 -0.288
Zr W Al
1 1 2
Cartesian
-5.804 -2.886 -1.946
-2.123 -0.588 -1.802
-0.116 -0.072 -0.005
-3.566 -2.226 -0.140
```

Properties
Total magnetic moment in μB/cell: 0.00
Relative energy among the computed polymorphs in kJ/mol of formula units: 27
Symmetry: Cmmm (65)